(1)
A plane-wave DFT calculation with GGA-PBEsol was carried out for crystalline Ta4W5 at its relaxed geometry.

Energy of formation (eV/f.u.): -0.68
Total DFT energy (no corrections) (eV/atom): -13.32

Cell: 6.9849 6.9849 6.9849 Å, 92.99 92.99 153.60°
With the nearest neighbours (Å) after each atom.
Fractional positions:
Ta  0.0000  0.3280  0.3280  4 W 2.74, 4 Ta 2.83
Ta  0.0000  0.6720  0.6720  4 W 2.74, 4 Ta 2.83
Ta  0.3280  0.0000  0.3280  4 W 2.74, 4 Ta 2.83
Ta  0.6720  0.0000  0.6720  4 W 2.74, 4 Ta 2.83
W  0.0000  0.0000  0.0000  8 W 2.77
W  0.3336  0.3336  0.6673  4 Ta 2.74, 4 W 2.77-2.78
W  0.3336  0.6664  0.0000  4 Ta 2.74, 4 W 2.77-2.78
W  0.6664  0.3336  0.0000  4 Ta 2.74, 4 W 2.77-2.78
W  0.6664  0.6664  0.3327  4 Ta 2.74, 4 W 2.77-2.78

(2)
A plane-wave DFT calculation with GGA-PBEsol was carried out for crystalline TaW3 at its relaxed geometry.

Energy of formation (eV/f.u.): -0.35
Total DFT energy (no corrections) (eV/atom): -13.58

Cell: 6.3572 6.3572 6.3572 Å, 90.00 90.00 90.00°
With the nearest neighbours (Å) after each atom.
Fractional positions:
Ta  0.0000  0.0000  0.0000  8 W 2.75
Ta  0.0000  0.5000  0.5000  8 W 2.75
Ta  0.5000  0.0000  0.5000  8 W 2.75
Ta  0.5000  0.5000  0.0000  8 W 2.75
W  0.0000  0.0000  0.5000  8 W 2.75
W  0.0000  0.5000  0.0000  8 W 2.75
W  0.2500  0.2500  0.2500  4 Ta 2.75, 4 W 2.75
W  0.2500  0.2500  0.7500  4 Ta 2.75, 4 W 2.75
W  0.2500  0.7500  0.2500  4 Ta 2.75, 4 W 2.75
W  0.2500  0.7500  0.7500  4 Ta 2.75, 4 W 2.75
W  0.5000  0.0000  0.0000  8 W 2.75
W  0.5000  0.5000  0.5000  8 W 2.75
W  0.7500  0.2500  0.2500  4 Ta 2.75, 4 W 2.75
W  0.7500  0.2500  0.7500  4 Ta 2.75, 4 W 2.75
W  0.7500  0.7500  0.2500  4 Ta 2.75, 4 W 2.75
W  0.7500  0.7500  0.7500  4 Ta 2.75, 4 W 2.75

(3)
A plane-wave DFT calculation with GGA-PBEsol was carried out for crystalline Ta5W3 at its relaxed geometry.

Energy above the lowest structure with this stoichiometry (eV/atom): 0.011
Energy of formation (eV/f.u.): -0.45
Total DFT energy (no corrections) (eV/atom): -13.08

Cell: 6.4421 6.4455 6.4455 Å, 90.04 90.00 90.00°
With the nearest neighbours (Å) after each atom.
Fractional positions:
Ta  0.0000  0.0000  0.0000  2 W 2.77, 6 Ta 2.80-2.84
Ta  0.0000  0.0007  0.5076  2 W 2.78, 6 Ta 2.80-2.83
Ta  0.0000  0.5076  0.0007  2 W 2.78, 6 Ta 2.80-2.83
Ta  0.2535  0.2544  0.7544  4 W 2.77-2.80, 4 Ta 2.78-2.81
Ta  0.2532  0.2545  0.2545  4 W 2.80-2.82, 4 Ta 2.81-2.84
Ta  0.2535  0.7544  0.2544  4 W 2.77-2.80, 4 Ta 2.78-2.81
Ta  0.5000  0.5083  0.5083  2 W 2.75, 6 Ta 2.78-2.81
Ta  0.7465  0.2544  0.7544  4 W 2.77-2.80, 4 Ta 2.78-2.81
Ta  0.7468  0.2545  0.2545  4 W 2.80-2.82, 4 Ta 2.81-2.84
Ta  0.7465  0.7544  0.2544  4 W 2.77-2.80, 4 Ta 2.78-2.81
W  0.0000  0.5071  0.5071  2 W 2.78, 6 Ta 2.80-2.82
W  0.2530  0.7544  0.7544  4 Ta 2.75-2.78, 4 W 2.76-2.78
W  0.5000  0.0018  0.0018  2 W 2.76, 6 Ta 2.78-2.80
W  0.5000  0.0017  0.5077  2 W 2.76, 6 Ta 2.77-2.80
W  0.5000  0.5077  0.0017  2 W 2.76, 6 Ta 2.77-2.80
W  0.7470  0.7544  0.7544  4 Ta 2.75-2.78, 4 W 2.76-2.78